TaBi3Ir: optimized geometry, PBE.

Cell lengths 5.3921, 5.3921, 5.3921 Å; angles 90.00, 90.00, 90.00 degrees
Fractional coordinates of all 5 atoms:
Ta 0.0000 0.0000 0.0000
Bi 0.0000 0.0000 0.5000
Bi 0.0000 0.5000 0.0000
Bi 0.5000 0.0000 0.0000
Ir 0.5000 0.5000 0.5000

Calculated values
Energy relative to the lowest polymorph listed for this composition = 62 meV/atom
Density of states at the Fermi level = 1.015 states/eV per atom
Formation enthalpy at 0 K = 1346.3 meV/atom
V = 31.355 Å³/atom